A relaxed structure of MgInFe2. Source: OQMD via LeMat-Bulk, functional PBE.

Output
E	-78.62	eV per cell
spin magnetization	18.69	μB per cell
density	6.7	g/cm³

Structure (CIF):
```
data_MgInFe2
_chemical_formula_sum 'Mg4 In4 Fe8'
_cell_length_a 6.2974
_cell_length_b 6.2974
_cell_length_c 6.2974
_cell_angle_alpha 90.00
_cell_angle_beta 90.00
_cell_angle_gamma 90.00
_symmetry_space_group_name_H-M 'P m -3 m'
_symmetry_Int_Tables_number 221
_symmetry_space_group_name_Hall '-P 4 2 3'
loop_
_atom_site_label
_atom_site_type_symbol
_atom_site_fract_x
_atom_site_fract_y
_atom_site_fract_z
Mg1 Mg 0.0000 0.0000 0.0000
Mg2 Mg 0.0000 0.0000 0.5000
In1 In 0.0000 0.5000 0.5000
In2 In 0.5000 0.5000 0.5000
Fe1 Fe 0.2473 0.2473 0.2473
```